DyHo2PaCo2 PBE optimized geometry; calculated formation energy = -0.187 eV/atom; space-group type = Ibam (72)
1.0
-3.413 6.278 3.353
3.413 -6.278 3.353
3.413 6.278 -3.353
Dy Ho Pa Co
2 4 2 4
Direct
0.250 0.250 0.000
0.750 0.750 0.000
0.202 0.700 0.902
0.298 0.200 0.498
0.702 0.800 0.502
0.798 0.300 0.098
0.250 0.750 0.500
0.750 0.250 0.500
0.090 0.294 0.384
0.410 0.794 0.204
0.590 0.206 0.796
0.910 0.706 0.616

LaYMgGe PBE optimized geometry; calculated formation energy = -0.391 eV/atom; space-group type = F-43m (216)
1.0
0.000 3.730 3.730
3.730 0.000 3.730
3.730 3.730 0.000
La Y Mg Ge
1 1 1 1
Direct
0.000 0.000 0.000
0.500 0.500 0.500
0.750 0.750 0.750
0.250 0.250 0.250

BaZnW PBE optimized geometry; calculated formation energy = 0.882 eV/atom; space-group type = I4mm (107)
1.0
-1.534 1.534 7.163
1.534 -1.534 7.163
1.534 1.534 -7.163
Ba Zn W
1 1 1
Direct
0.000 0.000 0.000
0.310 0.310 0.000
0.696 0.696 0.000

Sm2Er4Se9 PBE optimized geometry; ΔE_f (raw) = -1.8525 eV/atom; space-group type = P-1 (2)
1.0
7.213 0.000 0.000
3.604 6.251 0.000
0.011 -0.003 19.490
Sm Er Se
4 8 18
Direct
0.000 0.001 0.150
0.000 0.999 0.850
0.001 0.998 0.350
0.999 0.002 0.650
0.332 0.334 0.818
0.333 0.334 0.013
0.334 0.333 0.319
0.334 0.333 0.513
0.666 0.667 0.487
0.666 0.667 0.681
0.667 0.666 0.987
0.668 0.666 0.182
0.001 0.311 0.250
0.026 0.344 0.917
0.026 0.628 0.417
0.310 0.000 0.750
0.311 0.689 0.250
0.345 0.628 0.917
0.346 0.025 0.416
0.370 0.655 0.584
0.372 0.973 0.083
0.628 0.027 0.917
0.630 0.345 0.416
0.654 0.975 0.584
0.655 0.372 0.083
0.689 0.311 0.750
0.690 0.000 0.250
0.974 0.372 0.583
0.974 0.656 0.083
0.999 0.689 0.750

FeRhI PBE optimized geometry; ΔE_f (raw) = 0.5095 eV/atom; space-group type = Amm2 (38)
1.0
10.580 0.000 0.000
0.000 1.784 3.205
0.000 -1.784 3.205
Fe Rh I
2 2 2
Direct
0.000 0.000 0.000
0.500 0.077 0.077
0.128 0.326 0.326
0.872 0.326 0.326
0.326 0.759 0.759
0.674 0.759 0.759

Zr2ScTe4 PBE optimized geometry; ΔE_f (raw) = -1.0222 eV/atom; space-group type = C2/m (12)
1.0
7.689 -1.982 0.000
7.689 1.982 0.000
-3.246 0.000 6.400
Zr Sc Te
2 1 4
Direct
0.249 0.249 0.204
0.751 0.751 0.796
0.500 0.500 0.500
0.133 0.133 0.463
0.393 0.393 0.049
0.607 0.607 0.951
0.867 0.867 0.537

no.,D(E_F) (states/eV/cell),electronic total energy (eV per atom)
1,13.28,-6.431
2,3.00,-4.792
3,1.54,-4.502
4,0.00,-5.789
5,5.59,-5.279
6,4.05,-6.164